[1]
DFT (PBE-GGA) results for crystalline MgGaRe2 at its relaxed geometry.

```
MgGaRe2
1.0
7.402 0.000 0.000
0.000 7.402 0.000
3.701 3.701 2.519
Re Mg Ga
4 2 2
direct
0.667 0.125 0.250 Re
0.083 0.625 0.250 Re
0.375 0.333 0.750 Re
0.875 0.917 0.750 Re
0.500 0.500 0.000 Mg
0.250 0.750 0.500 Mg
0.000 0.000 0.000 Ga
0.750 0.250 0.500 Ga
```

Properties
The volume comes out at 138.0 Å³/cell. Its electronic total energy is -6.546 eV per atom. The calculation puts the energy of formation from the pure elements at 80.4 kJ per mole of atoms. As for the symmetry: I-42d (122). Its energy above the lowest structure with this stoichiometry is 246.6 meV per atom.



[2]
DFT (PBE-GGA) results for crystalline Ca3Zn2Cd7 at its relaxed geometry.

```
Ca3Zn2Cd7
1.0
5.979 0.000 0.000
2.989 5.178 0.000
2.989 1.726 9.294
Ca Zn Cd
3 2 7
direct
0.000 0.000 0.000 Ca
0.857 0.857 0.429 Ca
0.143 0.143 0.571 Ca
0.665 0.665 0.004 Zn
0.335 0.335 0.996 Zn
0.500 0.500 0.500 Cd
0.926 0.417 0.241 Cd
0.417 0.926 0.241 Cd
0.417 0.417 0.241 Cd
0.074 0.583 0.759 Cd
0.583 0.583 0.759 Cd
0.583 0.074 0.759 Cd
```

Properties
The volume comes out at 287.7 Å³/cell. Its electronic total energy is -1.478 eV per atom. The calculation puts the energy of formation from the pure elements at -22.4 kJ per mole of atoms. As for the symmetry: R-3m (166).



[3]
DFT (PBE-GGA) results for crystalline Tb5YMg4 at its relaxed geometry.

```
Tb5YMg4
1.0
3.752 0.000 0.000
0.000 3.752 0.000
0.000 0.000 20.205
Tb Y Mg
5 1 4
direct
0.500 0.500 0.119 Tb
0.500 0.500 0.310 Tb
0.500 0.500 0.500 Tb
0.500 0.500 0.690 Tb
0.500 0.500 0.881 Tb
0.000 0.000 0.000 Y
0.000 0.000 0.215 Mg
0.000 0.000 0.405 Mg
0.000 0.000 0.595 Mg
0.000 0.000 0.785 Mg
```

Properties
The volume comes out at 284.4 Å³/cell. Its electronic total energy is -3.659 eV per atom. The calculation puts the energy of formation from the pure elements at -5.8 kJ per mole of atoms. As for the symmetry: P4/mmm (123).



[4]
DFT (PBE-GGA) results for crystalline Bi2O3 at its relaxed geometry.

```
Bi2O3
1.0
8.077 0.000 0.000
4.039 6.995 0.000
4.039 2.332 6.595
Bi O
8 12
direct
0.880 0.880 0.361 Bi
0.880 0.361 0.880 Bi
0.361 0.880 0.880 Bi
0.880 0.880 0.880 Bi
0.370 0.370 0.889 Bi
0.370 0.889 0.370 Bi
0.889 0.370 0.370 Bi
0.370 0.370 0.370 Bi
0.049 0.049 0.451 O
0.451 0.049 0.451 O
0.049 0.451 0.451 O
0.451 0.451 0.049 O
0.049 0.451 0.049 O
0.451 0.049 0.049 O
0.201 0.201 0.799 O
0.799 0.201 0.799 O
0.201 0.799 0.799 O
0.799 0.799 0.201 O
0.201 0.799 0.201 O
0.799 0.201 0.201 O
```

Properties
The volume comes out at 372.7 Å³/cell. The uncorrected formation energy is -1.1522 eV per atom. Its electronic total energy is -5.679 eV per atom. As for the symmetry: Fd-3m (227).



What did the first record say?
DFT (PBE-GGA) results for crystalline MgGaRe2 at its relaxed geometry.

```
MgGaRe2
1.0
7.402 0.000 0.000
0.000 7.402 0.000
3.701 3.701 2.519
Re Mg Ga
4 2 2
direct
0.667 0.125 0.250 Re
0.083 0.625 0.250 Re
0.375 0.333 0.750 Re
0.875 0.917 0.750 Re
0.500 0.500 0.000 Mg
0.250 0.750 0.500 Mg
0.000 0.000 0.000 Ga
0.750 0.250 0.500 Ga
```

Properties
The volume comes out at 138.0 Å³/cell. Its electronic total energy is -6.546 eV per atom. The calculation puts the energy of formation from the pure elements at 80.4 kJ per mole of atoms. As for the symmetry: I-42d (122). Its energy above the lowest structure with this stoichiometry is 246.6 meV per atom.



> What is the electronic total energy in the first record?

-6.546 eV per atom